The following is a PBE calculation of a geometry-optimized Sm2MnGe4Rh3 structure, from Alexandria.

Final energy (eV per atom): -6.651
DOS(E_F) (states/eV/cell): 6.6
Crystal system: tetragonal
Space-group type: P-4m2 (115)

abc: 4.1973 4.1973 10.3737
angles: 90.00 90.00 90.00
Positions (direct):
Sm: 0.0000 0.5000 0.2453
Sm: 0.5000 0.0000 0.7547
Mn: 0.0000 0.0000 0.5000
Ge: 0.0000 0.0000 0.0000
Ge: 0.0000 0.5000 0.6357
Ge: 0.5000 0.0000 0.3643
Ge: 0.5000 0.5000 0.0000
Rh: 0.0000 0.5000 0.8730
Rh: 0.5000 0.0000 0.1270
Rh: 0.5000 0.5000 0.5000